Computed, not measured: a geometry-optimized FeBiBrO2 structure at the PBE+U level of DFT.

Unit cell a=4.179 b=4.179 c=6.477 alpha=90.00 beta=90.00 gamma=90.00
Space group P4/mmm (No. 123)
Symmetry-distinct sites (fractional):
Fe  0.000  0.000  0.000 [1 per cell]
Bi  0.000  0.000  0.500 [1 per cell]
Br  0.500  0.500  0.000 [1 per cell]
O  0.000  0.500  0.500 [2 per cell]

Density in g/cm³: 5.53
Excess energy over the best structure of this formula in the dataset in kJ/mol of atoms: 113.4
E in eV/cell: -21.23
Magnetic moment in μB/f.u.: 3.428
DOS(E_F) in states/eV per cell: 2.30